# 1
An optimized crystal structure of CePuMnCd. Source: Alexandria via LeMat-Bulk, functional PBE-GGA.

Cell lengths 7.0254, 7.0254, 7.0254 Å; angles 90.00, 90.00, 90.00 degrees
Closest atoms and distances in Å follow each position.
Space group F-43m (No. 216)
Symmetry-distinct sites (fractional):
Ce  0.0000  0.0000  0.0000 x4  4 Pu 3.04, 4 Cd 3.04
Pu  0.2500  0.2500  0.2500 x4  4 Mn 3.04, 4 Ce 3.04
Mn  0.0000  0.0000  0.5000 x4  4 Cd 3.04, 4 Pu 3.04
Cd  0.2500  0.2500  0.7500 x4  4 Mn 3.04, 4 Ce 3.04

## Properties
**Total magnetic moment**: 8.73 μB per formula unit
**DOS at the Fermi energy**: 2.496 states/eV/atom
**Calculated formation energy**: 0.221 eV/atom



# 2
An optimized crystal structure of TbCeMnCd. Source: Alexandria via LeMat-Bulk, functional PBE-GGA.

Cell lengths 7.3510, 7.3510, 7.3510 Å; angles 90.00, 90.00, 90.00 degrees
Closest atoms and distances in Å follow each position.
Space group F-43m (No. 216)
Symmetry-distinct sites (fractional):
Tb  0.0000  0.0000  0.0000 x4  4 Mn 3.18, 4 Cd 3.18
Ce  0.0000  0.0000  0.5000 x4  4 Cd 3.18, 4 Mn 3.18
Mn  0.2500  0.2500  0.7500 x4  4 Tb 3.18, 4 Ce 3.18
Cd  0.2500  0.2500  0.2500 x4  4 Tb 3.18, 4 Ce 3.18

## Properties
**Total magnetic moment**: 2.04 μB per formula unit
**DOS at the Fermi energy**: 1.944 states/eV/atom
**Calculated formation energy**: 0.051 eV/atom



# 3
An optimized crystal structure of CeYMnCd. Source: Alexandria via LeMat-Bulk, functional PBE-GGA.

Cell lengths 7.3489, 7.3489, 7.3489 Å; angles 90.00, 90.00, 90.00 degrees
Closest atoms and distances in Å follow each position.
Space group F-43m (No. 216)
Symmetry-distinct sites (fractional):
Ce  0.0000  0.0000  0.0000 x4  4 Cd 3.18, 4 Mn 3.18
Y  0.0000  0.0000  0.5000 x4  4 Mn 3.18, 4 Cd 3.18
Mn  0.2500  0.2500  0.2500 x4  4 Ce 3.18, 4 Y 3.18
Cd  0.2500  0.2500  0.7500 x4  4 Y 3.18, 4 Ce 3.18

## Properties
**Total magnetic moment**: 2.00 μB per formula unit
**DOS at the Fermi energy**: 1.875 states/eV/atom
**Calculated formation energy**: 0.042 eV/atom



# 4
An optimized crystal structure of Ce4Cd2N. Source: Alexandria via LeMat-Bulk, functional PBE-GGA.

Cell lengths 4.9505, 4.9505, 15.4755 Å; angles 90.00, 90.00, 90.00 degrees
Closest atoms and distances in Å follow each position.
Space group I4/mmm (No. 139)
Symmetry-distinct sites (fractional):
Ce  0.0000  0.0000  0.1577 x4  1 N 2.44
Ce  0.0000  0.5000  0.0000 x4  2 N 2.48
Cd  0.0000  0.0000  0.3635 x4  9 Ce 3.18-3.52
N  0.0000  0.0000  0.0000 x2  6 Ce 2.44-2.48

## Properties
**Total magnetic moment**: 3.48 μB per formula unit
**ΔE_f (raw)**: -0.400 eV per atom
**DOS at the Fermi energy**: 2.784 states/eV/atom



# 5
An optimized crystal structure of Ce12Cd3N5. Source: Alexandria via LeMat-Bulk, functional PBE-GGA.

Cell lengths 15.9649, 15.9649, 15.9649 Å; angles 90.00, 90.00, 90.00 degrees
Closest atoms and distances in Å follow each position.
Space group Ia-3d (No. 230)
Symmetry-distinct sites (fractional):
Ce  0.0416  0.0488  0.6439 x96  2 N 2.29-2.52
Cd  0.0000  0.2500  0.1250 x24  8 Ce 3.25-3.29
N  0.0000  0.0000  0.0000 x16  6 Ce 2.52
N  0.0000  0.2500  0.3750 x24  4 Ce 2.29

## Properties
**Total magnetic moment**: 11.97 μB per formula unit
**ΔE_f (raw)**: -0.574 eV per atom
**DOS at the Fermi energy**: 3.017 states/eV/atom



# 6
An optimized crystal structure of Ce3CdN. Source: Alexandria via LeMat-Bulk, functional PBE-GGA.

Cell lengths 4.9160, 4.9160, 4.9160 Å; angles 90.00, 90.00, 90.00 degrees
Closest atoms and distances in Å follow each position.
Space group Pm-3m (No. 221)
Symmetry-distinct sites (fractional):
Ce  0.0000  0.0000  0.5000 x3  2 N 2.46
Cd  0.5000  0.5000  0.5000 x1  12 Ce 3.48
N  0.0000  0.0000  0.0000 x1  6 Ce 2.46

## Properties
**Total magnetic moment**: 2.18 μB per formula unit
**ΔE_f (raw)**: -0.671 eV per atom
**DOS at the Fermi energy**: 2.099 states/eV/atom



# 7
An optimized crystal structure of CePr2CdN. Source: Alexandria via LeMat-Bulk, functional PBE-GGA.

Cell lengths 5.1420, 5.1420, 4.8110 Å; angles 90.00, 90.00, 90.00 degrees
Closest atoms and distances in Å follow each position.
Space group P4/mmm (No. 123)
Symmetry-distinct sites (fractional):
Ce  0.0000  0.0000  0.0000 x1  2 N 2.41
Pr  0.0000  0.5000  0.5000 x2  2 N 2.57
Cd  0.5000  0.5000  0.0000 x1  8 Pr 3.52, 4 Ce 3.64
N  0.0000  0.0000  0.5000 x1  2 Ce 2.41, 4 Pr 2.57

## Properties
**Total magnetic moment**: 0.59 μB per formula unit
**ΔE_f (raw)**: -0.664 eV per atom
**DOS at the Fermi energy**: 1.720 states/eV/atom



# 8
An optimized crystal structure of Ce6PuCd2N. Source: Alexandria via LeMat-Bulk, functional PBE-GGA.

Cell lengths 9.9251, 9.9251, 9.9251 Å; angles 90.00, 90.00, 90.00 degrees
Closest atoms and distances in Å follow each position.
Space group Fm-3m (No. 225)
Symmetry-distinct sites (fractional):
Ce  0.0000  0.0000  0.2479 x24  1 Pu 2.46, 1 N 2.50
Pu  0.0000  0.0000  0.0000 x4  6 Ce 2.46
Cd  0.2500  0.2500  0.2500 x8  12 Ce 3.51
N  0.0000  0.0000  0.5000 x4  6 Ce 2.50

## Properties
**Total magnetic moment**: 0.00 μB per formula unit
**ΔE_f (raw)**: -0.549 eV per atom
**DOS at the Fermi energy**: 1.416 states/eV/atom



# 9
An optimized crystal structure of Ce6Cd2RuN. Source: Alexandria via LeMat-Bulk, functional PBE-GGA.

Cell lengths 10.2548, 10.2548, 10.2548 Å; angles 90.00, 90.00, 90.00 degrees
Closest atoms and distances in Å follow each position.
Space group Fm-3m (No. 225)
Symmetry-distinct sites (fractional):
Ce  0.0000  0.0000  0.2343 x24  1 N 2.40
Cd  0.2500  0.2500  0.2500 x8  12 Ce 3.63
Ru  0.0000  0.0000  0.5000 x4  6 Ce 2.72
N  0.0000  0.0000  0.0000 x4  6 Ce 2.40

## Properties
**Total magnetic moment**: 3.31 μB per formula unit
**ΔE_f (raw)**: -0.314 eV per atom
**DOS at the Fermi energy**: 2.804 states/eV/atom



# 10
An optimized crystal structure of Ce2CdS2N2. Source: Alexandria via LeMat-Bulk, functional PBE-GGA.

Cell lengths 11.7092, 3.8706, 6.8768 Å; angles 90.00, 121.59, 90.00 degrees
Closest atoms and distances in Å follow each position.
Space group C2/m (No. 12)
Symmetry-distinct sites (fractional):
Ce  0.1961  0.0000  0.2447 x4  3 N 2.22-2.29
Cd  0.0000  0.0000  0.5000 x2  2 N 2.20
S  0.0729  0.5000  0.8475 x4  2 Cd 2.84, 3 Ce 3.03-3.08
N  0.2099  0.0000  0.5889 x4  1 Cd 2.20, 3 Ce 2.22-2.29

## Properties
**Total magnetic moment**: 0.00 μB per formula unit
**ΔE_f (raw)**: -1.246 eV per atom



# 11
An optimized crystal structure of CeSm2CdN. Source: Alexandria via LeMat-Bulk, functional PBE-GGA.

Cell lengths 5.0010, 5.0010, 4.8406 Å; angles 90.00, 90.00, 90.00 degrees
Closest atoms and distances in Å follow each position.
Space group P4/mmm (No. 123)
Symmetry-distinct sites (fractional):
Ce  0.0000  0.0000  0.0000 x1  2 N 2.42
Sm  0.0000  0.5000  0.5000 x2  2 N 2.50
Cd  0.5000  0.5000  0.0000 x1  8 Sm 3.48, 4 Ce 3.54
N  0.0000  0.0000  0.5000 x1  2 Ce 2.42, 4 Sm 2.50

## Properties
**Total magnetic moment**: 0.51 μB per formula unit
**ΔE_f (raw)**: -0.712 eV per atom
**DOS at the Fermi energy**: 1.531 states/eV/atom



# 12
An optimized crystal structure of CeCdSnN. Source: Alexandria via LeMat-Bulk, functional PBE-GGA.

Cell lengths 3.2843, 3.2843, 16.6344 Å; angles 90.00, 90.00, 90.00 degrees
Closest atoms and distances in Å follow each position.
Space group I4mm (No. 107)
Symmetry-distinct sites (fractional):
Ce  0.0000  0.0000  0.0000 x2  4 N 2.40
Cd  0.0000  0.0000  0.6640 x2  4 Cd 3.28, 1 N 3.32, 4 Sn 3.54, 4 Ce 3.58
Sn  0.0000  0.0000  0.3247 x2  1 N 2.33
N  0.0000  0.0000  0.4645 x2  1 Sn 2.33, 4 Ce 2.40

## Properties
**Total magnetic moment**: 0.45 μB per formula unit
**ΔE_f (raw)**: -0.500 eV per atom
**DOS at the Fermi energy**: 1.166 states/eV/atom



no.,volume (Å³/f.u.)
1,86.7
2,99.3
3,99.2
4,189.6
5,508.6
6,118.8
7,127.2
8,244.4
9,269.6
10,132.7
11,121.1
12,89.7